A plane-wave DFT calculation with PBE was carried out for ZnCd2Fe after structural relaxation.

Cell lengths 6.4502, 5.0176, 2.8975 Å; angles 90.24, 62.89, 120.74 degrees
Last column: nearest neighbours and their distance in Å.
Fractional coordinates of all 4 atoms:
Zn (0.5000, 0.5000, 0.0000)  2 Fe 2.87, 8 Cd 2.89-2.90, 2 Zn 2.90
Cd (0.0000, 0.0000, 0.0000)  4 Cd 2.87-2.90, 4 Zn 2.89-2.90, 4 Fe 2.89-2.90
Cd (0.5000, 0.0000, 0.5000)  4 Cd 2.87-2.90, 4 Fe 2.89-2.90, 4 Zn 2.89-2.90
Fe (0.0000, 0.5000, 0.5000)  2 Zn 2.87, 8 Cd 2.89-2.90, 2 Fe 2.90

formation energy = 0.23 eV/atom

---

A plane-wave DFT calculation with PBE was carried out for ZnCd2Fe after structural relaxation.

Cell lengths 4.5958, 4.5958, 4.5958 Å; angles 60.00, 60.00, 60.00 degrees
Last column: nearest neighbours and their distance in Å.
Fractional coordinates of all 4 atoms:
Cd (0.2500, 0.2500, 0.2500)  4 Cd 2.81, 4 Fe 2.81
Fe (0.5000, 0.5000, 0.5000)  4 Cd 2.81, 4 Zn 2.81
Cd (0.0000, 0.0000, 0.0000)  4 Zn 2.81, 4 Cd 2.81
Zn (0.7500, 0.7500, 0.7500)  4 Cd 2.81, 4 Fe 2.81

formation energy = 0.32 eV/atom

---

A plane-wave DFT calculation with PBE was carried out for ZnCd2Fe after structural relaxation.

Cell lengths 10.0534, 10.0534, 10.0534 Å; angles 16.48, 16.48, 16.48 degrees
Last column: nearest neighbours and their distance in Å.
Fractional coordinates of all 4 atoms:
Cd (0.2390, 0.2390, 0.2390)  3 Fe 2.85, 6 Cd 2.88
Fe (0.4947, 0.4947, 0.4947)  3 Zn 2.58, 3 Cd 2.85, 6 Fe 2.88
Cd (0.0046, 0.0046, 0.0046)  6 Cd 2.88, 3 Zn 3.16
Zn (0.7616, 0.7616, 0.7616)  3 Fe 2.58, 6 Zn 2.88

formation energy = 0.21 eV/atom

---

Result set for E: -2.66; -2.58; -2.69 eV/atom, one per record in the order listed.
Result set for total magnetic moment: 2.323; 2.349; 2.657 μB per formula unit, one per record in the order listed.